Record 1
Below is an optimized crystal structure of BeCrSe2, with properties calculated at the PBE-GGA level.

a b c (Å): 11.514 3.510 3.774
angles (deg): 90.00 92.93 90.00
Space group Cm (No. 8)
Inequivalent atoms, fractional coordinates:
Be 0.000 0.000 0.000 x2
Cr 0.261 0.500 0.625 x2
Se 0.107 0.000 0.522 x2
Se 0.377 0.000 0.036 x2

Summary:
total magnetic moment = 4.00 μB per formula unit
E_form (uncorrected) = -1.51 eV per formula unit


Record 2
Below is an optimized crystal structure of K2MgTl6, with properties calculated at the PBE-GGA level.

a b c (Å): 9.6147 9.6147 3.7679
angles (deg): 90.00 90.00 120.00
Space group P-62m (No. 189)
Inequivalent atoms, fractional coordinates:
K 0.3333 0.6667 0.0000 x2
Mg 0.0000 0.0000 0.5000 x1
Tl 0.0000 0.3318 0.5000 x3
Tl 0.0000 0.7438 0.0000 x3

Summary:
formation energy = -0.045 eV/atom
total magnetic moment = 0.00 μB per formula unit


Record 3
Below is an optimized crystal structure of BaUAlO6, with properties calculated at the PBE-GGA level.

a b c (Å): 5.3540 5.3540 5.8217
angles (deg): 90.00 90.00 120.00
Space group P312 (No. 149)
Inequivalent atoms, fractional coordinates:
Ba 0.0000 0.0000 0.0000 x1
U 0.6667 0.3333 0.5000 x1
Al 0.3333 0.6667 0.5000 x1
O 0.0188 0.3892 0.6885 x6

Summary:
total magnetic moment = 1.01 μB per formula unit
E_form (uncorrected) = -25.10 eV per formula unit


Record 4
Below is an optimized crystal structure of CePaSe2N, with properties calculated at the PBE-GGA level.

a b c (Å): 4.006 4.006 14.126
angles (deg): 90.00 90.00 90.00
Space group P4/nmm (No. 129, origin choice 2)
Inequivalent atoms, fractional coordinates:
Ce 0.250 0.250 0.102 x2
Pa 0.250 0.250 0.582 x2
Se 0.250 0.250 0.315 x2
Se 0.250 0.250 0.886 x2
N 0.250 0.750 0.500 x2

Summary:
total magnetic moment = 1.23 μB per formula unit
E_form (uncorrected) = -8.70 eV per formula unit


Record 5
Below is an optimized crystal structure of Ca2Pm8Nd3, with properties calculated at the PBE-GGA level.

a b c (Å): 13.732 11.750 6.431
angles (deg): 90.00 116.25 90.00
Space group C2/m (No. 12)
Inequivalent atoms, fractional coordinates:
Ca 0.220 0.000 0.367 x4
Pm 0.049 0.000 0.787 x4
Pm 0.161 0.500 0.040 x4
Pm 0.163 0.238 0.669 x8
Nd 0.000 0.270 0.000 x4
Nd 0.000 0.500 0.500 x2

Summary:
formation energy = 0.187 eV/atom
total magnetic moment = 0.00 μB per formula unit


Record 6
Below is an optimized crystal structure of SbTe2PdSe, with properties calculated at the PBE-GGA level.

a b c (Å): 5.279 5.279 5.187
angles (deg): 90.00 90.00 90.00
Space group P4/mmm (No. 123)
Inequivalent atoms, fractional coordinates:
Sb 0.000 0.000 0.000 x1
Te 0.000 0.500 0.500 x2
Pd 0.000 0.000 0.500 x1
Se 0.500 0.500 0.000 x1

Summary:
total magnetic moment = 0.00 μB per formula unit
E_form (uncorrected) = 2.21 eV per formula unit


Record 7
Below is an optimized crystal structure of Ca2CuPdCl, with properties calculated at the PBE-GGA level.

a b c (Å): 5.521 5.521 4.847
angles (deg): 90.00 90.00 90.00
Space group P4/mmm (No. 123)
Inequivalent atoms, fractional coordinates:
Ca 0.000 0.500 0.000 x2
Cu 0.000 0.000 0.500 x1
Pd 0.500 0.500 0.000 x1
Cl 0.500 0.500 0.500 x1

Summary:
total magnetic moment = 0.00 μB per formula unit
E_form (uncorrected) = -0.80 eV per formula unit


Record 8
Below is an optimized crystal structure of Na3PuTl3I8, with properties calculated at the PBE-GGA level.

a b c (Å): 9.4392 9.4392 24.4557
angles (deg): 90.00 90.00 120.00
Space group R-3m (No. 166, hexagonal axes)
Inequivalent atoms, fractional coordinates:
Na 0.0000 0.5000 0.0000 x9
Pu 0.0000 0.0000 0.0000 x3
Tl 0.0000 0.5000 0.5000 x9
I 0.0000 0.0000 0.2596 x6
I 0.0042 0.5021 0.7402 x18

Summary:
total magnetic moment = 6.00 μB per formula unit
E_form (uncorrected) = -14.43 eV per formula unit


Record 9
Below is an optimized crystal structure of KBa2I2, with properties calculated at the PBE-GGA level.

a b c (Å): 10.709 10.709 4.178
angles (deg): 90.00 90.00 90.00
Space group P4/mbm (No. 127)
Inequivalent atoms, fractional coordinates:
K 0.000 0.000 0.000 x2
Ba 0.155 0.345 0.000 x4
I 0.133 0.633 0.500 x4

Summary:
total magnetic moment = 0.00 μB per formula unit
E_form (uncorrected) = -4.10 eV per formula unit


Record 10
Below is an optimized crystal structure of BaCrAg2Os, with properties calculated at the PBE-GGA level.

a b c (Å): 5.020 5.020 5.907
angles (deg): 90.00 90.00 90.00
Space group P4/mmm (No. 123)
Inequivalent atoms, fractional coordinates:
Ba 0.000 0.000 0.000 x1
Cr 0.000 0.000 0.500 x1
Ag 0.000 0.500 0.500 x2
Os 0.500 0.500 0.000 x1

Summary:
formation energy = 1.698 eV/atom
total magnetic moment = 7.47 μB per formula unit


Record 11
Below is an optimized crystal structure of ScAg2BrCl, with properties calculated at the PBE-GGA level.

a b c (Å): 5.205 5.205 4.829
angles (deg): 90.00 90.00 90.00
Space group P4/mmm (No. 123)
Inequivalent atoms, fractional coordinates:
Sc 0.000 0.000 0.000 x1
Ag 0.000 0.500 0.500 x2
Br 0.500 0.500 0.000 x1
Cl 0.000 0.000 0.500 x1

Summary:
total magnetic moment = 0.92 μB per formula unit
E_form (uncorrected) = 0.54 eV per formula unit


Record 12
Below is an optimized crystal structure of Mg6BMo, with properties calculated at the PBE-GGA level.

a b c (Å): 4.504 5.994 11.243
angles (deg): 90.00 90.00 90.00
Space group Amm2 (No. 38)
Inequivalent atoms, fractional coordinates:
Mg 0.000 0.000 0.000 x2
Mg 0.000 0.235 0.734 x4
Mg 0.500 0.000 0.154 x2
Mg 0.500 0.242 0.402 x4
B 0.000 0.000 0.561 x2
Mo 0.500 0.000 0.617 x2

Summary:
formation energy = 0.392 eV/atom
total magnetic moment = 0.00 μB per formula unit


Let's list density in order: 4.773 7.315 5.726 7.957 5.969 6.461 3.210 5.125 3.934 6.640 4.773 2.764 g/cm3.
Let's list E in order: -5.46 -2.04 -7.98 -7.88 -4.14 -3.37 -3.19 -3.48 -2.43 -4.00 -3.00 -2.99 eV/atom.
Let's list Fermi-level density of states in order: 0.09 3.34 6.80 16.55 42.54 5.77 1.32 69.96 7.48 6.17 4.57 6.87 states/eV per cell.